A relaxed SmDy2Rh crystal, computed with GGA-PBE.

Unit cell a=3.801 b=12.066 c=9.491 alpha=90.00 beta=90.00 gamma=90.00
Space group Cmcm (No. 63)
Symmetry-distinct sites (fractional):
Sm 0.000 0.075 0.250 x4
Dy 0.000 0.361 0.068 x8
Rh 0.000 0.241 0.750 x4

Summary:
- E_form (eV per atom) = -0.476
- DFT total energy (eV/atom) = -5.80
- Fermi-level density of states (states/eV/cell) = 20.50
- offset from the most stable computed form (kcal/mol of atoms) = 0.71